Record 1
SrNi2BiIr | GGA-PBE | optimized geometry

```
data_SrNi2BiIr
_symmetry_space_group_name_H-M 'P 4/m m m'
_symmetry_Int_Tables_number 123
_symmetry_space_group_name_Hall '-P 4 2'
_cell_length_a 4.782
_cell_length_b 4.782
_cell_length_c 6.266
_cell_angle_alpha 90.00
_cell_angle_beta 90.00
_cell_angle_gamma 90.00
loop_
_atom_site_label
_atom_site_type_symbol
_atom_site_fract_x
_atom_site_fract_y
_atom_site_fract_z
Sr1 Sr 0.000 0.000 0.000
Ni1 Ni 0.000 0.500 0.500
Bi1 Bi 0.000 0.000 0.500
Ir1 Ir 0.500 0.500 0.000
```

Properties
DFT formation energy = 624 kJ/mol of formula units

Record 2
LaTl2Ir | GGA-PBE | optimized geometry

```
data_LaTl2Ir
_symmetry_space_group_name_H-M 'C m m m'
_symmetry_Int_Tables_number 65
_symmetry_space_group_name_Hall '-C 2 2'
_cell_length_a 5.848
_cell_length_b 9.921
_cell_length_c 3.561
_cell_angle_alpha 90.00
_cell_angle_beta 90.00
_cell_angle_gamma 90.00
loop_
_atom_site_label
_atom_site_type_symbol
_atom_site_fract_x
_atom_site_fract_y
_atom_site_fract_z
La1 La 0.000 0.000 0.000
Tl1 Tl 0.250 0.250 0.500
Ir1 Ir 0.000 0.500 0.000
```

Properties
DFT formation energy = 74 kJ/mol of formula units

Record 3
KRhCl2 | GGA-PBE | optimized geometry

```
data_KRhCl2
_symmetry_space_group_name_H-M 'F m -3 m'
_symmetry_Int_Tables_number 225
_symmetry_space_group_name_Hall '-F 4 2 3'
_cell_length_a 7.037
_cell_length_b 7.037
_cell_length_c 7.037
_cell_angle_alpha 90.00
_cell_angle_beta 90.00
_cell_angle_gamma 90.00
loop_
_atom_site_label
_atom_site_type_symbol
_atom_site_fract_x
_atom_site_fract_y
_atom_site_fract_z
K1 K 0.000 0.000 0.000
Rh1 Rh 0.000 0.000 0.500
Cl1 Cl 0.250 0.250 0.250
```

Properties
Uncorrected formation energy = -0.3980 eV per atom

Record 4
GaNi | GGA-PBE | optimized geometry

```
data_GaNi
_symmetry_space_group_name_H-M 'I -4 3 m'
_symmetry_Int_Tables_number 217
_symmetry_space_group_name_Hall 'I -4 2 3'
_cell_length_a 7.193
_cell_length_b 7.193
_cell_length_c 7.193
_cell_angle_alpha 90.00
_cell_angle_beta 90.00
_cell_angle_gamma 90.00
loop_
_atom_site_label
_atom_site_type_symbol
_atom_site_fract_x
_atom_site_fract_y
_atom_site_fract_z
Ga1 Ga 0.200 0.200 0.800
Ni1 Ni 0.118 0.118 0.118
```

Properties
DFT formation energy = 40 kJ/mol of formula units

Record 5
Rh2AuCl | GGA-PBE | optimized geometry

```
data_Rh2AuCl
_symmetry_space_group_name_H-M 'P 4/m m m'
_symmetry_Int_Tables_number 123
_symmetry_space_group_name_Hall '-P 4 2'
_cell_length_a 2.969
_cell_length_b 2.969
_cell_length_c 7.117
_cell_angle_alpha 90.00
_cell_angle_beta 90.00
_cell_angle_gamma 90.00
loop_
_atom_site_label
_atom_site_type_symbol
_atom_site_fract_x
_atom_site_fract_y
_atom_site_fract_z
Rh1 Rh 0.000 0.000 0.235
Au1 Au 0.500 0.500 0.500
Cl1 Cl 0.500 0.500 0.000
```

Properties
Uncorrected formation energy = 0.4487 eV per atom

Record 6
CdInSb | GGA-PBE | optimized geometry

```
data_CdInSb
_symmetry_space_group_name_H-M 'I m m 2'
_symmetry_Int_Tables_number 44
_symmetry_space_group_name_Hall 'I 2 -2'
_cell_length_a 3.296
_cell_length_b 5.168
_cell_length_c 9.419
_cell_angle_alpha 90.00
_cell_angle_beta 90.00
_cell_angle_gamma 90.00
loop_
_atom_site_label
_atom_site_type_symbol
_atom_site_fract_x
_atom_site_fract_y
_atom_site_fract_z
Cd1 Cd 0.000 0.000 0.000
In1 In 0.000 0.000 0.672
Sb1 Sb 0.000 0.000 0.331
```

Properties
Uncorrected formation energy = 0.0807 eV per atom